# 1
# K2BaCrI (PBE, optimized geometry)
# DFT total energy in eV/atom: -2.89
# Crystal system: tetragonal
# Formation energy without anion corrections in eV/atom: 0.17
# Total moment in μB/f.u.: 5.5
data_K2BaCrI
_chemical_formula_sum 'K2 Ba1 Cr1 I1'
_symmetry_space_group_name_H-M 'P 1'
_symmetry_Int_Tables_number 1
_cell_length_a 6.459
_cell_length_b 6.903
_cell_length_c 6.459
_cell_angle_alpha 90.00
_cell_angle_beta 90.00
_cell_angle_gamma 90.00
loop_
_symmetry_equiv_pos_as_xyz
'x,y,z'
loop_
_atom_site_label
_atom_site_fract_x
_atom_site_fract_y
_atom_site_fract_z
_atom_site_occupancy
Ba1 0.000 0.500 0.000 1
I1 0.000 0.000 0.000 1
K1 0.500 0.000 0.000 1
K2 0.000 0.000 0.500 1
Cr1 0.500 0.500 0.500 1



# 2
# Tm6MgRh2 (PBE, optimized geometry)
# DFT total energy in eV/atom: -5.29
# Crystal system: orthorhombic
# Energy relative to the elements in eV/atom: -0.498
# Total moment in μB/f.u.: 0.0
data_Tm6MgRh2
_chemical_formula_sum 'Tm12 Mg2 Rh4'
_symmetry_space_group_name_H-M 'P 1'
_symmetry_Int_Tables_number 1
_cell_length_a 8.399
_cell_length_b 8.399
_cell_length_c 8.399
_cell_angle_alpha 103.65
_cell_angle_beta 112.91
_cell_angle_gamma 112.01
loop_
_symmetry_equiv_pos_as_xyz
'x,y,z'
loop_
_atom_site_label
_atom_site_fract_x
_atom_site_fract_y
_atom_site_fract_z
_atom_site_occupancy
Tm1 0.896 0.183 0.713 1
Tm2 0.800 0.038 0.238 1
Tm3 0.307 0.325 0.632 1
Tm4 0.104 0.817 0.287 1
Tm5 0.693 0.325 0.018 1
Tm6 0.470 0.183 0.287 1
Tm7 0.800 0.562 0.762 1
Tm8 0.200 0.962 0.762 1
Tm9 0.530 0.817 0.713 1
Tm10 0.200 0.438 0.238 1
Tm11 0.307 0.675 0.982 1
Tm12 0.693 0.675 0.368 1
Rh1 0.500 0.132 0.632 1
Rh2 0.328 0.328 0.000 1
Rh3 0.500 0.868 0.368 1
Rh4 0.672 0.672 0.000 1
Mg1 0.000 0.500 0.500 1
Mg2 0.000 0.000 0.000 1



# 3
# Tb3Nd4Dy (PBE, optimized geometry)
# DFT total energy in eV/atom: -4.53
# Energy above the most stable polymorph in this dataset in meV/atom: 134
# Crystal system: monoclinic
# Energy relative to the elements in eV/atom: 0.163
# Total moment in μB/f.u.: 0.0
data_Tb3Nd4Dy
_chemical_formula_sum 'Tb3 Nd4 Dy1'
_symmetry_space_group_name_H-M 'P 1'
_symmetry_Int_Tables_number 1
_cell_length_a 3.505
_cell_length_b 6.858
_cell_length_c 11.954
_cell_angle_alpha 106.50
_cell_angle_beta 98.43
_cell_angle_gamma 90.00
loop_
_symmetry_equiv_pos_as_xyz
'x,y,z'
loop_
_atom_site_label
_atom_site_fract_x
_atom_site_fract_y
_atom_site_fract_z
_atom_site_occupancy
Nd1 0.123 0.368 0.247 1
Nd2 0.259 0.764 0.519 1
Nd3 0.877 0.632 0.753 1
Nd4 0.741 0.236 0.481 1
Tb1 0.123 0.881 0.245 1
Tb2 0.877 0.119 0.755 1
Tb3 0.000 0.500 0.000 1
Dy1 0.500 0.000 0.000 1



# 4
# Mg4ZnCd5 (PBE, optimized geometry)
# DFT total energy in eV/atom: -1.27
# Energy above the most stable polymorph in this dataset in meV/atom: 5
# Crystal system: tetragonal
# Energy relative to the elements in eV/atom: -0.048
# Total moment in μB/f.u.: 0.0
data_Mg4ZnCd5
_chemical_formula_sum 'Mg4 Zn1 Cd5'
_symmetry_space_group_name_H-M 'P 1'
_symmetry_Int_Tables_number 1
_cell_length_a 3.572
_cell_length_b 3.572
_cell_length_c 16.480
_cell_angle_alpha 90.00
_cell_angle_beta 90.00
_cell_angle_gamma 90.00
loop_
_symmetry_equiv_pos_as_xyz
'x,y,z'
loop_
_atom_site_label
_atom_site_fract_x
_atom_site_fract_y
_atom_site_fract_z
_atom_site_occupancy
Zn1 0.000 0.000 0.000 1
Mg1 0.000 0.000 0.807 1
Mg2 0.000 0.000 0.193 1
Mg3 0.000 0.000 0.398 1
Mg4 0.000 0.000 0.602 1
Cd1 0.500 0.500 0.296 1
Cd2 0.500 0.500 0.500 1
Cd3 0.500 0.500 0.093 1
Cd4 0.500 0.500 0.704 1
Cd5 0.500 0.500 0.907 1